The following is a PBE-GGA calculation of a relaxed structure of Ac2TbCeP4, from Alexandria via LeMat-Bulk.

a b c (Å): 7.3422 4.2487 7.3865
angles (deg): 90.00 109.36 90.00
With the nearest neighbours (Å) after each atom.
Space group P2/m (No. 10)
Unique sites:
Ac 0.0000 0.0000 0.0000 (multiplicity 1)  6 P 3.10
Ac 0.5000 0.5000 0.0000 (multiplicity 1)  6 P 3.10
Tb 0.0000 0.5000 0.5000 (multiplicity 1)  6 P 2.91-2.92
Ce 0.5000 0.0000 0.5000 (multiplicity 1)  6 P 2.91-2.92
P 0.2428 0.0000 0.7272 (multiplicity 2)  1 Ce 2.91, 2 Tb 2.92, 3 Ac 3.10
P 0.2574 0.5000 0.2733 (multiplicity 2)  1 Tb 2.91, 2 Ce 2.92, 3 Ac 3.10

Computed properties:
Energy of formation = -11.8 eV per formula unit
Total magnetic moment = 0.51 μB per cell